# 1
4
Lattice="8.841 -0.004 -0.002 8.465 2.550 -0.002 8.465 1.245 2.226" Properties=species:S:1:pos:R:3 comment="LiCr2Si (GGA-PBE, relaxed)" dos_at_fermi_per_ev_atom=1.023 energy_ev_per_atom=-6.3750 magmom_total_mub_per_cell=0.0 pbc="T T T"
Cr 12.712 1.870 1.095
Li 6.443 0.948 0.555
Si 19.328 2.844 1.665
Cr 0.173 0.025 0.015

***

# 2
4
Lattice="-0.291 -4.196 0.897 2.344 -3.602 0.174 1.299 0.105 4.817" Properties=species:S:1:pos:R:3 comment="LiCrSi2 (GGA-PBE, relaxed)" dos_at_fermi_per_ev_atom=0.587 energy_ev_per_atom=-5.5878 magmom_total_mub_per_cell=2.2 pbc="T T T"
Li 0.838 -1.923 1.472
Si 1.702 -3.772 3.102
Cr 2.514 -5.770 4.416
Si 1.272 0.031 4.659

***

# 3
3
Lattice="-4.791 -0.798 0.080 -2.312 -4.244 0.488 3.546 2.768 1.834" Properties=species:S:1:pos:R:3 comment="LiCrSi (GGA-PBE, relaxed)" dos_at_fermi_per_ev_atom=0.441 energy_ev_per_atom=-5.5226 magmom_total_mub_per_cell=3.0 pbc="T T T"
Si -4.725 -3.354 0.378
Cr -0.069 -0.049 0.006
Li -2.309 -1.639 0.185

***

# 4
3
Lattice="6.553 -0.017 0.014 5.956 2.445 -0.005 0.597 -0.442 2.422" Properties=species:S:1:pos:R:3 comment="LiCrSi (GGA-PBE, relaxed)" dos_at_fermi_per_ev_atom=0.770 energy_ev_per_atom=-5.5282 magmom_total_mub_per_cell=0.4 pbc="T T T"
Cr 0.740 -0.407 2.393
Li 4.519 0.503 1.628
Si 8.445 1.449 0.832

***

# 5
4
Lattice="3.887 0.000 0.000 0.000 3.452 0.000 0.000 0.000 3.452" Properties=species:S:1:pos:R:3 comment="LiCr2Si (GGA-PBE, relaxed)" dos_at_fermi_per_ev_atom=0.729 energy_ev_per_atom=-6.5310 magmom_total_mub_per_cell=0.0 pbc="T T T"
Si 1.944 0.000 1.726
Cr 0.000 1.726 1.726
Li 1.944 1.726 0.000
Cr 0.000 0.000 0.000

***

# 6
4
Lattice="-1.052 0.015 -4.641 -3.118 -0.906 -3.479 -1.650 4.031 0.261" Properties=species:S:1:pos:R:3 comment="LiCrSi2 (GGA-PBE, relaxed)" dos_at_fermi_per_ev_atom=0.479 energy_ev_per_atom=-5.6111 magmom_total_mub_per_cell=0.7 pbc="T T T"
Li -1.402 0.707 -1.932
Si -4.371 2.199 -6.029
Cr -2.962 1.656 -3.953
Si -4.165 -0.743 -7.994

***

# 7
4
Lattice="-2.516 2.935 -1.920 -3.890 0.895 -1.643 -1.694 1.679 3.963" Properties=species:S:1:pos:R:3 comment="LiCr2Si (GGA-PBE, relaxed)" dos_at_fermi_per_ev_atom=0.773 energy_ev_per_atom=-6.5214 magmom_total_mub_per_cell=0.0 pbc="T T T"
Li -4.072 2.760 0.130
Si -2.068 1.408 0.115
Cr -8.026 5.459 0.404
Cr -6.085 4.145 0.349

***

# 8
4
Lattice="2.476 0.029 0.000 -0.580 2.407 0.000 0.000 0.000 8.282" Properties=species:S:1:pos:R:3 comment="LiCr2Si (GGA-PBE, relaxed)" dos_at_fermi_per_ev_atom=0.903 energy_ev_per_atom=-6.4225 magmom_total_mub_per_cell=0.0 pbc="T T T"
Cr 0.000 0.000 4.330
Li 0.948 1.218 2.070
Cr 0.000 0.000 8.093
Si 0.948 1.218 6.211

***

# 9
4
Lattice="4.656 0.001 -0.011 2.018 4.196 0.011 -3.330 -2.110 2.478" Properties=species:S:1:pos:R:3 comment="LiCrSi2 (GGA-PBE, relaxed)" dos_at_fermi_per_ev_atom=0.528 energy_ev_per_atom=-5.6924 magmom_total_mub_per_cell=1.0 pbc="T T T"
Si 1.012 2.093 1.244
Si 0.001 0.000 0.000
Li 2.331 -0.005 1.233
Cr 3.337 2.099 0.000

***

# 10
4
Lattice="4.889 0.005 0.015 -2.141 4.167 -0.008 0.608 0.680 2.283" Properties=species:S:1:pos:R:3 comment="LiCr2Si (GGA-PBE, relaxed)" dos_at_fermi_per_ev_atom=0.820 energy_ev_per_atom=-6.5214 magmom_total_mub_per_cell=0.0 pbc="T T T"
Cr 0.000 0.000 0.000
Li -0.766 2.424 1.137
Si 1.374 2.086 0.004
Cr 2.749 0.342 1.149

***

# 11
4
Lattice="4.039 0.002 0.000 -0.008 4.039 0.000 -2.016 -2.020 2.858" Properties=species:S:1:pos:R:3 comment="LiCr2Si (GGA-PBE, relaxed)" dos_at_fermi_per_ev_atom=0.896 energy_ev_per_atom=-6.7051 magmom_total_mub_per_cell=0.4 pbc="T T T"
Cr -0.004 2.020 1.429
Si 2.020 0.001 1.429
Li 2.016 2.020 0.000
Cr 0.000 0.000 0.000

***

# 12
4
Lattice="-1.770 1.696 -0.035 -0.831 -0.941 -3.554 -3.419 -3.532 1.735" Properties=species:S:1:pos:R:3 comment="LiCr2Si (GGA-PBE, relaxed)" dos_at_fermi_per_ev_atom=0.844 energy_ev_per_atom=-6.4611 magmom_total_mub_per_cell=0.1 pbc="T T T"
Li -1.748 -1.805 0.887
Cr -2.117 -0.466 -1.380
Si -3.849 -2.255 -0.502
Cr -0.016 -0.017 0.008

***

# 13
3
Lattice="-1.975 0.116 3.598 -0.533 -3.450 2.161 2.072 -0.572 3.498" Properties=species:S:1:pos:R:3 comment="LiCrSi (GGA-PBE, relaxed)" dos_at_fermi_per_ev_atom=0.287 energy_ev_per_atom=-5.4962 magmom_total_mub_per_cell=3.0 pbc="T T T"
Si -0.327 -2.930 6.943
Li -0.218 -1.953 4.629
Cr 0.000 0.000 0.000

***

# 14
4
Lattice="5.808 0.021 0.069 -2.335 3.902 -0.011 1.139 0.687 2.237" Properties=species:S:1:pos:R:3 comment="LiCrSi2 (GGA-PBE, relaxed)" dos_at_fermi_per_ev_atom=0.785 energy_ev_per_atom=-5.6354 magmom_total_mub_per_cell=2.0 pbc="T T T"
Si 3.473 0.354 1.153
Si 0.000 0.000 0.000
Li 1.737 1.961 0.029
Cr -0.598 2.294 1.113

***

# 15
4
Lattice="2.616 0.006 0.000 -0.010 2.616 0.000 0.000 0.000 7.805" Properties=species:S:1:pos:R:3 comment="LiCrSi2 (GGA-PBE, relaxed)" dos_at_fermi_per_ev_atom=0.494 energy_ev_per_atom=-5.7203 magmom_total_mub_per_cell=1.4 pbc="T T T"
Si 0.000 0.000 3.706
Si 0.000 0.000 0.196
Li 1.303 1.311 5.854
Cr 1.303 1.311 1.951

***

# 16
4
Lattice="4.069 0.000 0.000 0.000 4.069 0.000 0.000 0.000 3.055" Properties=species:S:1:pos:R:3 comment="LiCr2Si (GGA-PBE, relaxed)" dos_at_fermi_per_ev_atom=1.114 energy_ev_per_atom=-6.4395 magmom_total_mub_per_cell=5.0 pbc="T T T"
Cr 0.000 0.000 0.000
Cr 2.034 2.034 0.000
Si 0.000 2.034 1.528
Li 2.034 0.000 1.528

***

# 17
4
Lattice="4.015 0.000 0.000 0.000 2.463 -0.002 0.000 1.154 4.747" Properties=species:S:1:pos:R:3 comment="LiCr2Si (GGA-PBE, relaxed)" dos_at_fermi_per_ev_atom=0.760 energy_ev_per_atom=-6.5291 magmom_total_mub_per_cell=0.0 pbc="T T T"
Cr 0.000 1.204 4.688
Cr 0.000 1.759 2.431
Li 2.008 0.904 1.186
Si 2.008 2.713 3.558

***

# 18
4
Lattice="-2.268 3.783 -0.483 -4.310 -0.780 0.709 3.608 -0.992 2.385" Properties=species:S:1:pos:R:3 comment="LiCrSi2 (GGA-PBE, relaxed)" dos_at_fermi_per_ev_atom=0.742 energy_ev_per_atom=-5.7071 magmom_total_mub_per_cell=0.9 pbc="T T T"
Si -3.289 1.502 0.113
Li -0.975 2.147 1.008
Cr -1.996 -0.135 1.604
Si 0.000 0.000 0.000

***

# 19
4
Lattice="1.658 -1.598 3.484 -2.125 0.167 3.591 -1.583 -3.492 1.654" Properties=species:S:1:pos:R:3 comment="LiCrSi2 (GGA-PBE, relaxed)" dos_at_fermi_per_ev_atom=0.788 energy_ev_per_atom=-5.6028 magmom_total_mub_per_cell=2.6 pbc="T T T"
Si -0.513 -1.231 2.182
Cr -1.025 -2.461 4.364
Si -1.538 -3.692 6.547
Li 0.000 0.000 0.000

***

# 20
8
Lattice="-0.981 5.478 3.210 -4.169 1.894 -4.506 -4.381 2.641 0.584" Properties=species:S:1:pos:R:3 comment="LiCr2Si (GGA-PBE, relaxed)" dos_at_fermi_per_ev_atom=1.252 energy_ev_per_atom=-6.1262 magmom_total_mub_per_cell=0.0 pbc="T T T"
Li -5.562 4.110 -2.285
Si -3.968 5.902 1.573
Cr -7.828 8.447 -0.736
Si 0.000 0.000 0.000
Cr -2.238 4.368 1.617
Cr -3.815 2.480 -2.297
Cr -5.180 4.728 -0.009
Li -2.575 3.686 -0.648